# 1
# LiZrPdRh

A geometry-optimized LiZrPdRh structure (PBE, Alexandria).

Geometry as POSCAR:
```
LiZrPdRh
1.0
-0.2874 0.8756 3.1616
-2.5433 -2.0641 0.3405
3.7162 -4.3255 1.5358
Rh Pd Li Zr
1 1 1 1
Direct
0.5000 0.5000 0.1023
0.5000 0.5000 0.6245
0.0000 0.0000 0.8552
0.0000 0.0000 0.3460
```

Summary:
For the calculated total energy, the calculation gives -25.60 eV/cell. As for the energy of formation: -0.649 eV/atom.

# 2
# Li3PdRu

A geometry-optimized Li3PdRu structure (PBE, Alexandria).

Geometry as POSCAR:
```
Li3PdRu
1.0
4.4253 0.0000 0.0000
0.0000 4.4253 0.0000
0.0000 0.0000 4.4253
Pd Li Ru
1 3 1
Direct
0.0000 0.0000 0.0000
0.0000 0.5000 0.0000
0.0000 0.0000 0.5000
0.5000 0.0000 0.0000
0.5000 0.5000 0.5000
```

Summary:
The calculation puts the polymorph energy (0 for the lowest one) at 0.0 kJ per mole of atoms. For the calculated total energy, the calculation gives -16.69 eV/cell. As for the energy of formation: 0.704 eV/atom.

# 3
# LiPd2Ru

A geometry-optimized LiPd2Ru structure (PBE, Alexandria).

Geometry as POSCAR:
```
LiPd2Ru
1.0
3.7733 0.0000 0.0000
0.0000 3.7733 0.0000
1.8866 1.8866 8.7321
Ru Pd Li
2 4 2
Direct
0.7500 0.2500 0.5000
0.0000 0.0000 0.0000
0.6226 0.1250 0.2500
0.8750 0.8726 0.7500
0.3750 0.3774 0.7500
0.1274 0.6250 0.2500
0.5000 0.5000 0.0000
0.2500 0.7500 0.5000
```

Summary:
The calculation puts the polymorph energy (0 for the lowest one) at 45.5 kJ per mole of atoms. For the calculated total energy, the calculation gives -39.61 eV/cell. As for the energy of formation: 0.443 eV/atom.

# 4
# LiPdRu3

A geometry-optimized LiPdRu3 structure (PBE, Alexandria).

Geometry as POSCAR:
```
LiPdRu3
1.0
-3.3892 2.2638 0.3489
-0.0662 -0.7197 4.0262
2.2895 3.3302 0.6330
Ru Pd Li
3 1 1
Direct
0.0000 0.0000 0.5000
0.0000 0.5000 0.0000
0.5000 0.0000 0.0000
0.5000 0.5000 0.5000
0.0000 0.0000 0.0000
```

Summary:
The calculation puts the polymorph energy (0 for the lowest one) at 0.0 kJ per mole of atoms. For the calculated total energy, the calculation gives -29.64 eV/cell. As for the energy of formation: 1.058 eV/atom.

# 5
# Li2Pd2Ru

A geometry-optimized Li2Pd2Ru structure (PBE, Alexandria).

Geometry as POSCAR:
```
Li2Pd2Ru
1.0
-0.4707 3.7504 -5.8388
3.9645 -4.6579 -3.3114
-2.2277 -1.3894 -0.7128
Li Pd Ru
4 4 2
Direct
0.1154 0.3846 0.0000
0.6154 0.1154 0.0000
0.8846 0.6154 0.0000
0.3846 0.8846 0.0000
0.6872 0.8128 0.5000
0.3128 0.1872 0.5000
0.1872 0.6872 0.5000
0.8128 0.3128 0.5000
0.5000 0.5000 0.0000
0.0000 0.0000 0.0000
```

Summary:
For the calculated total energy, the calculation gives -47.47 eV/cell. As for the energy of formation: -0.049 eV/atom.

# 6
# LiPd2Ru

A geometry-optimized LiPd2Ru structure (PBE, Alexandria).

Geometry as POSCAR:
```
LiPd2Ru
1.0
-0.1759 0.2389 2.7147
-0.4810 -4.5808 0.3720
4.5862 -0.4541 0.3371
Pd Li Ru
2 1 1
Direct
0.0000 0.5000 0.0000
0.0000 0.0000 0.5000
0.5000 0.0000 0.0000
0.5000 0.5000 0.5000
```

Summary:
The calculation puts the polymorph energy (0 for the lowest one) at 0.0 kJ per mole of atoms. For the calculated total energy, the calculation gives -21.69 eV/cell. As for the energy of formation: -0.028 eV/atom.

# 7
# LiPdRu

A geometry-optimized LiPdRu structure (PBE, Alexandria).

Geometry as POSCAR:
```
LiPdRu
1.0
2.7149 0.0000 0.0000
-1.3575 2.3515 0.0000
0.0000 0.0000 13.3142
Ru Pd Li
2 2 2
Direct
0.6112 0.2224 0.6688
0.6112 0.2224 0.3312
0.2777 0.5554 0.8379
0.2777 0.5554 0.1621
0.6102 0.2205 0.0000
0.2786 0.5571 0.5000
```

Summary:
For the calculated total energy, the calculation gives -32.32 eV/cell. As for the energy of formation: 0.075 eV/atom.

# 8
# LiPd2Ru

A geometry-optimized LiPd2Ru structure (PBE, Alexandria).

Geometry as POSCAR:
```
LiPd2Ru
1.0
0.0000 3.0915 3.0915
3.0915 0.0000 3.0915
3.0915 3.0915 0.0000
Pd Li Ru
2 1 1
Direct
0.7500 0.7500 0.7500
0.2500 0.2500 0.2500
0.0000 0.0000 0.0000
0.5000 0.5000 0.5000
```

Summary:
The calculation puts the polymorph energy (0 for the lowest one) at 13.3 kJ per mole of atoms. For the calculated total energy, the calculation gives -21.14 eV/cell. As for the energy of formation: 0.110 eV/atom.